NaLiThS3: optimized geometry, PBE-GGA.

a = 6.6459 Å, b = 6.6459 Å, c = 10.7572 Å
α = 90.00°, β = 90.00°, γ = 143.79°
Sites, in units of the cell vectors:
Na 0.2515 0.7485 0.2500
Na 0.7485 0.2515 0.7500
Li 0.5251 0.4749 0.2500
S 0.3672 0.6328 0.9297
S 0.6328 0.3672 0.4297
S 0.3672 0.6328 0.5703
Th 0.0000 0.0000 0.5000
Th 0.0000 0.0000 0.0000
Li 0.4749 0.5251 0.7500
S 0.0745 0.9255 0.7500
S 0.9255 0.0745 0.2500
S 0.6328 0.3672 0.0703

Calculated values
Total moment ... 0.003 Bohr magnetons per cell
Uncorrected energy ... -65.347 eV for the cell shown